# 1
This record from Alexandria via LeMat-Bulk describes VCrPt2 after structural relaxation. The functional is PBE-GGA.

The density comes out at 13.50 g/cm3. Its formation energy is -0.8 eV per formula unit. Its crystal system is cubic.

Cell: 6.2374 6.2374 6.2374 Å, 90.00 90.00 90.00°
Space group Fm-3m (No. 225)
Symmetry-distinct sites (fractional):
V1 0.0000 0.0000 0.0000 [4 per cell]
Cr1 0.0000 0.0000 0.5000 [4 per cell]
Pt1 0.2500 0.2500 0.2500 [8 per cell]



# 2
This record from Alexandria via LeMat-Bulk describes V2CrPt after structural relaxation. The functional is PBE-GGA.

The energy above the most stable polymorph in this dataset comes out at 0.0000 eV per atom. The density comes out at 10.75 g/cm3. Its formation energy is -1.1 eV per formula unit. Its crystal system is tetragonal.

Cell: 2.9924 2.9924 6.0214 Å, 90.00 90.00 90.00°
Space group P4/mmm (No. 123)
Symmetry-distinct sites (fractional):
V1 0.0000 0.0000 0.2220 [2 per cell]
Cr1 0.5000 0.5000 0.0000 [1 per cell]
Pt1 0.5000 0.5000 0.5000 [1 per cell]



Number 1: final energy -126.3 eV for the cell shown. Number 2: final energy -35.0 eV for the cell shown.